[1]
Al2Pt | the Alexandria database | PBE | relaxed; total moment = 0.000 μB per atom; symmetry = P4/mmm; E_form = -1.83 eV per formula unit
1.0
-0.574 2.832 3.009
-4.119 -0.152 -0.644
-0.241 -2.248 2.070
Al Pt
2 1
Cartesian
-2.180 -1.200 0.713
-0.408 0.292 2.540
0.000 0.000 0.000

=====

[2]
Al4Pt | the Alexandria database | PBE | relaxed; total moment = 0.000 μB per atom; symmetry = Pm-3m; energy above the most stable polymorph in this dataset = 0.415 eV/atom; E_form = -0.24 eV per formula unit
1.0
4.776 0.000 0.000
0.000 4.776 0.000
0.000 0.000 4.776
Pt Al
1 4
Cartesian
2.388 2.388 2.388
0.000 0.000 0.000
2.388 2.388 0.000
0.000 2.388 2.388
2.388 0.000 2.388

=====

[3]
AlPt | the Alexandria database | PBE | relaxed; total moment = 0.000 μB per atom; symmetry = P-3m1; E_form = -0.97 eV per formula unit
1.0
2.926 0.000 0.000
-1.463 2.534 0.000
0.000 0.000 8.454
Pt Al
2 2
Cartesian
0.000 0.000 4.068
1.463 0.845 6.500
1.463 0.845 2.180
0.000 0.000 8.387

=====

[4]
AlPt | the Alexandria database | PBE | relaxed; total moment = 0.000 μB per atom; symmetry = Pm-3n; E_form = -0.51 eV per formula unit
1.0
6.848 0.000 0.000
0.000 6.848 0.000
0.000 0.000 6.848
Al Pt
6 6
Cartesian
5.136 0.000 3.424
0.000 3.424 1.712
1.712 0.000 3.424
0.000 3.424 5.136
3.424 1.712 0.000
3.424 5.136 0.000
1.712 3.424 0.000
3.424 0.000 5.136
3.424 0.000 1.712
5.136 3.424 0.000
0.000 5.136 3.424
0.000 1.712 3.424

=====

[5]
AlPt | the Alexandria database | PBE | relaxed; total moment = 0.000 μB per atom; symmetry = Pm-3m; E_form = -0.40 eV per formula unit
1.0
4.892 0.000 0.000
0.000 4.892 0.000
0.000 0.000 4.892
Al Pt
3 3
Cartesian
0.000 2.446 2.446
2.446 2.446 0.000
2.446 0.000 2.446
0.000 0.000 2.446
0.000 2.446 0.000
2.446 0.000 0.000

=====

[6]
Al2Pt | the Alexandria database | PBE | relaxed; total moment = 0.000 μB per atom; symmetry = P4/nmm; E_form = -2.31 eV per formula unit
1.0
-1.569 3.330 0.648
-1.211 0.117 -3.534
-5.890 -3.147 1.914
Pt Al
2 4
Cartesian
-5.200 -0.694 1.759
-2.080 -0.729 -1.288
-3.009 0.476 1.047
-4.270 -1.900 -0.576
0.000 0.000 0.000
-1.390 1.723 -1.443

=====

[7]
AlPt3 | the Alexandria database | PBE | relaxed; total moment = 0.000 μB per atom; symmetry = I4/mcm; E_form = -2.13 eV per formula unit
1.0
6.562 0.000 0.000
0.000 6.562 0.000
0.000 0.000 5.757
Al Pt
4 12
Cartesian
0.000 3.281 1.439
0.000 3.281 4.318
3.281 0.000 1.439
3.281 0.000 4.318
5.058 4.785 2.878
4.785 1.504 2.878
1.777 1.504 0.000
4.785 5.058 0.000
1.777 5.058 2.878
1.504 1.777 2.878
5.058 1.777 0.000
3.281 3.281 1.439
0.000 0.000 1.439
1.504 4.785 0.000
0.000 0.000 4.318
3.281 3.281 4.318

=====

[8]
AlPt3 | the Alexandria database | PBE | relaxed; total moment = 0.000 μB per atom; symmetry = I4/mcm; E_form = -2.86 eV per formula unit
1.0
-5.333 -0.179 1.401
1.626 -2.011 -4.928
-0.050 -5.445 -0.882
Al Pt
2 6
Cartesian
-0.519 -2.420 -2.282
-3.210 -5.232 -2.022
-2.604 -6.031 -4.397
-2.162 -3.295 -4.066
0.058 -6.368 -5.166
-3.185 -2.509 -1.582
-0.544 -5.143 -2.723
0.501 -3.632 -4.835

=====

[9]
AlPt | the Alexandria database | PBE | relaxed; total moment = 0.000 μB per atom; symmetry = Cm; E_form = -1.89 eV per formula unit
1.0
1.479 4.691 0.013
-1.479 4.691 0.013
0.000 2.340 6.498
Al Pt
3 3
Cartesian
0.000 8.090 4.364
0.000 9.063 0.087
0.000 6.358 1.763
0.000 3.816 2.199
0.000 4.570 6.169
0.000 10.696 3.924

=====

[10]
Al4Pt | the Alexandria database | PBE | relaxed; total moment = 0.000 μB per atom; symmetry = P-3m1; energy above the most stable polymorph in this dataset = 0.245 eV/atom; E_form = -1.09 eV per formula unit
1.0
-2.809 -0.707 0.316
1.903 -0.611 2.120
-2.069 10.391 4.851
Al Pt
4 1
Cartesian
-2.478 5.551 3.824
-2.948 7.911 4.926
-0.027 1.162 2.361
-0.497 3.523 3.464
0.000 0.000 0.000

=====

[11]
Al3Pt5 | the Alexandria database | PBE | relaxed; total moment = 0.000 μB per atom; symmetry = Pbam; E_form = -7.40 eV per formula unit
1.0
-2.870 0.453 2.745
-2.921 -3.944 -2.404
4.851 -7.432 6.298
Al Pt
6 10
Cartesian
0.746 -8.859 5.152
0.000 0.000 0.000
-1.687 -2.064 1.487
0.965 -5.688 1.947
-2.076 -5.678 1.677
1.135 -5.245 4.963
2.300 -7.128 3.581
2.291 -7.217 6.497
1.015 -9.369 2.607
0.915 -2.007 1.288
2.425 -3.716 3.149
-0.391 -3.848 3.136
-3.232 -3.706 0.142
-0.549 -7.075 3.503
-1.461 -1.972 -1.202
-0.370 -4.248 0.314

=====

[12]
AlPt | the Alexandria database | PBE | relaxed; total moment = 0.000 μB per atom; symmetry = F-43m; E_form = -0.74 eV per formula unit
1.0
-0.614 0.652 -3.851
-3.585 -0.592 -1.559
-2.186 3.084 -1.159
Al Pt
1 1
Cartesian
0.000 0.000 0.000
-4.788 2.358 -4.926

=====

[13]
AlPt | the Alexandria database | PBE | relaxed; total moment = 0.000 μB per atom; symmetry = Fd-3m; E_form = -1.04 eV per formula unit
1.0
-1.288 3.539 2.331
-3.828 -0.088 2.225
0.015 -0.139 4.426
Al Pt
2 2
Cartesian
0.000 0.000 0.000
-1.275 0.828 2.246
-3.826 2.484 6.737
-2.550 1.656 4.491

=====

[14]
Pu2Al6Pt | the Alexandria database | PBE | relaxed; total moment = 1.273 μB per atom; symmetry = P-3m1; E_form = -4.23 eV per formula unit
1.0
5.514 -0.027 -0.016
0.029 5.985 0.006
0.029 2.987 5.186
Al Pu Pt
6 2 1
Cartesian
1.761 7.382 4.272
3.823 2.970 3.348
1.748 5.975 1.828
1.748 4.562 4.269
3.810 1.563 0.904
3.823 4.383 0.907
1.092 2.985 1.728
4.480 5.960 3.449
0.000 0.000 0.000

=====

[15]
PuAlPt2 | the Alexandria database | PBE | relaxed; total moment = 1.370 μB per atom; symmetry = P4/mmm; E_form = -3.38 eV per formula unit
1.0
3.004 0.000 0.000
0.000 3.004 0.000
0.000 0.000 7.708
Pu Pt Al
1 2 1
Cartesian
1.502 1.502 3.854
0.000 0.000 6.155
0.000 0.000 1.554
1.502 1.502 0.000

=====

[16]
Pu3Al2Pt3 | the Alexandria database | PBE | relaxed; total moment = 2.128 μB per atom; symmetry = Cmcm; E_form = -6.56 eV per formula unit
1.0
4.198 0.000 0.000
-2.099 5.750 0.000
0.000 0.000 13.923
Pt Al Pu
6 4 6
Cartesian
0.000 3.691 3.481
2.099 2.059 10.442
0.000 4.498 7.539
2.099 1.251 6.384
2.099 1.251 0.577
0.000 4.498 13.345
2.099 3.190 8.070
0.000 2.560 5.853
2.099 3.190 12.814
0.000 2.560 1.109
0.000 0.800 8.630
2.099 1.604 3.481
0.000 4.146 10.442
0.000 0.800 12.254
2.099 4.950 1.668
2.099 4.950 5.293

=====

[17]
Pu3AlPt3 | the Alexandria database | PBE | relaxed; total moment = 2.397 μB per atom; symmetry = Cmcm; E_form = -5.45 eV per formula unit
1.0
-3.345 -2.390 -0.745
0.880 0.682 5.575
-8.006 11.241 -0.111
Pt Pu Al
6 6 2
Cartesian
-0.839 0.941 0.749
-2.372 2.570 2.405
-3.395 4.530 0.714
-9.632 8.592 3.970
-8.099 6.963 2.314
-7.075 5.003 4.006
-5.298 2.955 2.594
-2.967 -0.318 2.627
-7.504 9.851 2.093
-6.779 7.929 5.006
-3.691 1.604 -0.286
-5.173 6.578 2.125
-1.672 -1.195 -0.373
-5.675 4.426 -0.428

=====

[18]
PuAl4Pt2 | the Alexandria database | PBE | relaxed; total moment = 0.750 μB per atom; symmetry = Pnma; E_form = -5.89 eV per formula unit
1.0
4.282 0.000 0.000
0.000 6.687 0.000
0.000 0.000 17.254
Al Pt Pu
16 8 4
Cartesian
3.212 6.639 1.209
1.071 5.547 3.220
1.071 4.482 11.847
1.071 0.047 16.045
1.071 1.776 11.943
3.212 1.139 14.035
1.071 1.060 9.244
1.071 3.296 7.418
1.071 1.567 3.316
3.212 4.403 16.637
3.212 3.391 9.836
1.071 2.284 0.617
3.212 5.119 13.938
3.212 4.911 5.311
3.212 2.204 5.408
3.212 5.627 8.010
3.212 1.648 7.963
1.071 6.462 13.522
3.212 1.695 16.590
1.071 3.567 4.895
3.212 0.224 3.732
1.071 5.038 9.291
3.212 3.119 12.359
1.071 4.992 0.664
1.071 0.124 6.242
1.071 3.219 14.869
3.212 6.562 11.012
3.212 3.468 2.385

=====

[19]
Pu2Al5Pt3 | the Alexandria database | PBE | relaxed; total moment = 1.046 μB per atom; symmetry = Cmc2_1; E_form = -8.27 eV per formula unit
1.0
4.270 0.000 -0.727
0.000 6.723 0.000
-0.020 0.000 12.778
Al Pt Pu
10 6 4
Cartesian
3.028 0.048 4.879
3.014 2.752 4.801
2.571 6.122 2.200
0.232 3.982 1.359
3.714 5.063 8.905
4.018 0.621 10.692
1.235 6.114 7.250
1.222 3.409 7.171
0.536 1.701 3.145
1.678 2.760 9.851
0.219 6.605 1.283
0.958 1.390 5.627
3.291 4.752 6.424
4.031 3.244 10.767
2.595 3.456 2.335
1.655 0.094 9.715
2.211 1.787 0.083
0.733 4.864 4.304
3.516 1.503 7.747
2.039 5.149 11.967

=====

[20]
Pu2AlPt6 | the Alexandria database | PBE | relaxed; total moment = 1.112 μB per atom; symmetry = C2/m; E_form = -7.43 eV per formula unit
1.0
5.614 0.000 0.000
-2.807 4.703 1.099
0.000 0.069 6.316
Pt Pu Al
6 2 1
Cartesian
0.000 1.168 2.199
1.439 1.292 4.638
4.175 1.292 4.638
-1.368 3.480 2.777
1.368 3.480 2.777
2.807 3.604 5.216
0.000 3.386 6.244
2.807 1.386 1.171
0.000 0.000 0.000